1) ## TiCd2Co (PBE-GGA)

Data for TiCd2Co after structural relaxation.

Unit cell a=4.549 b=4.549 c=4.549 alpha=60.00 beta=60.00 gamma=60.00
Atoms (fractional coordinates):
Ti 0.000 0.000 0.000
Cd 0.250 0.250 0.250
Cd 0.750 0.750 0.750
Co 0.500 0.500 0.500

Computed properties:
* space group: Fm-3m (225)


2) ## TiCd2Co (PBE-GGA)

Data for TiCd2Co after structural relaxation.

Unit cell a=6.085 b=6.085 c=6.085 alpha=99.56 beta=99.56 gamma=131.89
Atoms (fractional coordinates):
Ti 0.000 0.000 0.000
Ti 0.750 0.250 0.500
Cd 0.186 0.625 0.061
Cd 0.375 0.436 0.561
Cd 0.564 0.125 0.939
Cd 0.875 0.814 0.439
Co 0.250 0.750 0.500
Co 0.500 0.500 0.000

Computed properties:
* space group: I-42d (122)


Most stable = 1)